No. 1
## TlZnPtO4 (PBE-GGA)

Data for crystalline TlZnPtO4 at its relaxed geometry.

Unit cell a=6.5587 b=6.4529 c=6.4414 alpha=119.94 beta=90.00 gamma=120.54
Closest atoms and distances in Å follow each position.
Fractional coordinates of all 14 atoms:
O 0.7575 0.5149 0.2883  1 Zn 2.16, 2 Pt 2.16, 1 Tl 2.34
O 0.7297 0.9566 0.7283  1 Zn 2.03, 1 Pt 2.07
O 0.7731 0.0434 0.2717  1 Zn 2.03, 1 Pt 2.07
O 0.2269 0.9566 0.7283  1 Zn 2.03, 1 Pt 2.07
O 0.2425 0.4851 0.2734  1 Zn 2.16, 2 Pt 2.16, 1 Tl 2.34
O 0.2425 0.4851 0.7117  1 Zn 2.16, 2 Pt 2.16, 1 Tl 2.34
O 0.2703 0.0434 0.2717  1 Zn 2.03, 1 Pt 2.07
O 0.7575 0.5149 0.7266  1 Zn 2.16, 2 Pt 2.16, 1 Tl 2.34
Pt 0.5000 0.5000 0.5000  6 O 2.07-2.16
Pt 0.0000 0.5000 0.5000  6 O 2.07-2.16
Tl 0.5000 0.0000 0.5000  6 O 2.31-2.34
Tl 0.5000 0.0000 0.0000  6 O 2.31-2.34
Zn 0.8880 0.7761 0.1380  4 O 2.03-2.16
Zn 0.1120 0.2239 0.8620  4 O 2.03-2.16

Computed properties:
ΔE_f (raw) in eV per atom: -0.656
Total DFT energy (no corrections) in eV/cell: -68.21

---

No. 2
## Tm3PtO (PBE-GGA)

Data for crystalline Tm3PtO at its relaxed geometry.

Unit cell a=4.5880 b=4.5880 c=4.5880 alpha=90.00 beta=90.00 gamma=90.00
Closest atoms and distances in Å follow each position.
Fractional coordinates of all 5 atoms:
Pt 0.5000 0.5000 0.5000  12 Tm 3.24
Tm 0.5000 0.0000 0.0000  2 O 2.29
Tm 0.0000 0.5000 0.0000  2 O 2.29
Tm 0.0000 0.0000 0.5000  2 O 2.29
O 0.0000 0.0000 0.0000  6 Tm 2.29

Computed properties:
ΔE_f (raw) in eV per atom: -1.607
Total DFT energy (no corrections) in eV/cell: -32.45

---

Which value of total DFT energy (no corrections) does entry 2 give?
-32.45 eV/cell

---

Number 2 is which compound?
Tm3PtO